Computed, not measured: a relaxed structure of RbScBr3 at the PBE level of DFT.

Cell: 9.479 9.479 7.037 Å, 90.00 90.00 138.91°
Site moments in Bohr magnetons follow the coordinates.
Fractional positions:
Sc 0.438 0.562 0.250  0.48
Sc 0.562 0.438 0.750  0.48
Br 0.587 0.920 0.250  -0.01
Br 0.080 0.413 0.250  -0.01
Br 0.920 0.587 0.750  -0.01
Br 0.413 0.080 0.750  -0.01
Br 0.000 0.000 0.000  0.02
Br 0.000 0.000 0.500  0.02
Rb 0.160 0.840 0.250  0.00
Rb 0.840 0.160 0.750  0.00

Calculated values
- V (Å³/f.u.) = 207.8
- E (eV/atom) = -3.53